(1)
Here is a relaxed K5Cd4Bi4 crystal from Alexandria via LeMat-Bulk. Energies are from PBE.

Summary:
Space-group type: I4/m (87)
Energy in eV per atom: -2.179
Crystal system: tetragonal
Calculated density in Mg/m³: 5.1

Lattice parameters (Å, degrees): 10.158 10.158 10.158 93.46 93.46 151.55
Sites, in units of the cell vectors:
K (0.000, 0.000, 0.000)
K (0.292, 0.638, 0.930)
K (0.362, 0.292, 0.654)
K (0.638, 0.708, 0.346)
K (0.708, 0.362, 0.070)
Cd (0.113, 0.418, 0.531)
Cd (0.418, 0.887, 0.305)
Cd (0.582, 0.113, 0.695)
Cd (0.887, 0.582, 0.469)
Bi (0.045, 0.729, 0.774)
Bi (0.271, 0.045, 0.315)
Bi (0.729, 0.955, 0.685)
Bi (0.955, 0.271, 0.226)


(2)
Here is a relaxed LaNdSi2Pt5 crystal from Alexandria via LeMat-Bulk. Energies are from PBE.

Summary:
Raw formation energy in eV per atom: -1.029
Space-group type: P4/mmm (123)
Crystal system: tetragonal
Calculated density in Mg/m³: 13.1

Lattice parameters (Å, degrees): 4.305 4.305 9.019 90.00 90.00 90.00
Sites, in units of the cell vectors:
La (0.000, 0.000, 0.000)
Nd (0.000, 0.000, 0.500)
Si (0.500, 0.500, 0.365)
Si (0.500, 0.500, 0.635)
Pt (0.000, 0.500, 0.239)
Pt (0.000, 0.500, 0.761)
Pt (0.500, 0.000, 0.239)
Pt (0.500, 0.000, 0.761)
Pt (0.500, 0.500, 0.000)


(3)
Here is a relaxed Ac2MgCdRh crystal from Alexandria via LeMat-Bulk. Energies are from PBE.

Summary:
Space-group type: P2_1/m (11)
Energy in eV per atom: -4.048
Crystal system: monoclinic
Calculated density in Mg/m³: 7.7

Lattice parameters (Å, degrees): 8.406 4.445 8.501 90.00 110.31 90.00
Sites, in units of the cell vectors:
Ac (0.104, 0.250, 0.339)
Ac (0.274, 0.250, 0.971)
Ac (0.726, 0.750, 0.029)
Ac (0.896, 0.750, 0.661)
Mg (0.438, 0.750, 0.342)
Mg (0.562, 0.250, 0.658)
Cd (0.327, 0.750, 0.667)
Cd (0.673, 0.250, 0.333)
Rh (0.119, 0.750, 0.104)
Rh (0.881, 0.250, 0.896)


(4)
Here is a relaxed Ba2HoThSe6 crystal from Alexandria via LeMat-Bulk. Energies are from PBE.

Summary:
Raw formation energy in eV per atom: -1.753
Space-group type: P2_1/c (14)
Crystal system: monoclinic
Calculated density in Mg/m³: 5.8

Lattice parameters (Å, degrees): 7.485 8.044 13.181 90.00 123.76 90.00
Sites, in units of the cell vectors:
Ba (0.221, 0.079, 0.249)
Ba (0.221, 0.421, 0.749)
Ba (0.779, 0.579, 0.251)
Ba (0.779, 0.921, 0.751)
Ho (0.000, 0.000, 0.500)
Ho (0.000, 0.500, 0.000)
Th (0.500, 0.000, 0.000)
Th (0.500, 0.500, 0.500)
Se (0.139, 0.200, 0.950)
Se (0.139, 0.300, 0.450)
Se (0.255, 0.697, 0.950)
Se (0.255, 0.803, 0.450)
Se (0.344, 0.023, 0.746)
Se (0.344, 0.477, 0.246)
Se (0.656, 0.523, 0.754)
Se (0.656, 0.977, 0.254)
Se (0.745, 0.197, 0.550)
Se (0.745, 0.303, 0.050)
Se (0.861, 0.700, 0.550)
Se (0.861, 0.800, 0.050)


(5)
Here is a relaxed La4Pm2Nd2Mg crystal from Alexandria via LeMat-Bulk. Energies are from PBE.

Summary:
Space-group type: P-1 (2)
Energy in eV per atom: -4.471
Crystal system: triclinic
Calculated density in Mg/m³: 6.2

Lattice parameters (Å, degrees): 6.299 6.358 8.165 75.03 82.29 80.51
Sites, in units of the cell vectors:
La (0.050, 0.282, 0.392)
La (0.172, 0.836, 0.163)
La (0.828, 0.164, 0.837)
La (0.950, 0.718, 0.608)
Pm (0.393, 0.944, 0.717)
Pm (0.607, 0.056, 0.283)
Nd (0.278, 0.392, 0.937)
Nd (0.722, 0.608, 0.063)
Mg (0.500, 0.500, 0.500)


(6)
Here is a relaxed Ho3InSn crystal from Alexandria via LeMat-Bulk. Energies are from PBE.

Summary:
Space-group type: C2/c (15)
Energy in eV per atom: -4.480
Crystal system: monoclinic
Calculated density in Mg/m³: 8.8

Lattice parameters (Å, degrees): 8.588 8.588 10.959 95.60 95.60 42.93
Sites, in units of the cell vectors:
Ho (0.178, 0.213, 0.258)
Ho (0.197, 0.711, 0.992)
Ho (0.213, 0.178, 0.758)
Ho (0.289, 0.803, 0.508)
Ho (0.385, 0.414, 0.230)
Ho (0.414, 0.385, 0.730)
Ho (0.586, 0.615, 0.270)
Ho (0.615, 0.586, 0.770)
Ho (0.711, 0.197, 0.492)
Ho (0.787, 0.822, 0.242)
Ho (0.803, 0.289, 0.008)
Ho (0.822, 0.787, 0.742)
In (0.121, 0.562, 0.477)
In (0.438, 0.879, 0.023)
In (0.562, 0.121, 0.977)
In (0.879, 0.438, 0.523)
Sn (0.000, 0.500, 0.000)
Sn (0.002, 0.998, 0.750)
Sn (0.500, 0.000, 0.500)
Sn (0.998, 0.002, 0.250)


(7)
Here is a relaxed Sm6PuTe8 crystal from Alexandria via LeMat-Bulk. Energies are from PBE.

Summary:
Raw formation energy in eV per atom: -1.380
Space-group type: Fm-3m (225)
Crystal system: cubic
Calculated density in Mg/m³: 7.3

Lattice parameters (Å, degrees): 8.863 8.863 8.863 60.00 60.00 60.00
Sites, in units of the cell vectors:
Sm (0.000, 0.000, 0.500)
Sm (0.000, 0.500, 0.000)
Sm (0.000, 0.500, 0.500)
Sm (0.500, 0.000, 0.000)
Sm (0.500, 0.000, 0.500)
Sm (0.500, 0.500, 0.000)
Pu (0.000, 0.000, 0.000)
Te (0.250, 0.250, 0.250)
Te (0.255, 0.255, 0.745)
Te (0.255, 0.745, 0.255)
Te (0.255, 0.745, 0.745)
Te (0.745, 0.255, 0.255)
Te (0.745, 0.255, 0.745)
Te (0.745, 0.745, 0.255)
Te (0.750, 0.750, 0.750)


(8)
Here is a relaxed KZnPt crystal from Alexandria via LeMat-Bulk. Energies are from PBE.

Summary:
Energy above the lowest structure with this stoichiometry in eV/f.u.: 0.00
Space-group type: C2/m (12)
Crystal system: monoclinic
Calculated density in Mg/m³: 6.0

Lattice parameters (Å, degrees): 7.845 5.839 7.185 90.00 90.16 90.00
Sites, in units of the cell vectors:
K (0.249, 0.000, 0.160)
K (0.251, 0.500, 0.840)
K (0.749, 0.500, 0.160)
K (0.751, 0.000, 0.840)
Zn (0.250, 0.000, 0.596)
Zn (0.250, 0.500, 0.404)
Zn (0.750, 0.000, 0.404)
Zn (0.750, 0.500, 0.596)
Pt (0.000, 0.250, 0.500)
Pt (0.000, 0.750, 0.500)
Pt (0.500, 0.250, 0.500)
Pt (0.500, 0.750, 0.500)